No. 1
VASP calculation (PBE) on BaCeAsO5 after structural relaxation.

Geometry as POSCAR:
```
BaCeAsO5
1.0
6.3578 -0.0333 0.0556
-1.8878 6.0712 0.0556
-1.7914 -2.4198 7.3734
As O Ba Ce
2 10 2 2
direct
0.6803 0.3197 0.2500
0.3197 0.6803 0.7500
0.7413 0.5890 0.4047
0.9156 0.0844 0.7500
0.0844 0.9156 0.2500
0.3226 0.8829 0.6285
0.8829 0.3226 0.1285
0.4110 0.2587 0.0953
0.2587 0.4110 0.5953
0.6774 0.1171 0.3715
0.5890 0.7413 0.9047
0.1171 0.6774 0.8715
0.3341 0.6659 0.2500
0.6659 0.3341 0.7500
0.0000 0.0000 0.0000
0.0000 0.0000 0.5000
```

Computed properties:
Symmetry ... C2/c (15)
M_tot ... 0.100 μB/atom
DOS at the Fermi energy ... 0.7006 states/eV/atom
Formation energy (no corrections) ... -2433 meV/atom


No. 2
VASP calculation (PBE) on Ba2CePaAs4 after structural relaxation.

Geometry as POSCAR:
```
Ba2CePaAs4
1.0
4.3770 0.0000 0.0000
0.0000 7.5736 0.1301
0.0000 -2.6511 7.4192
Ba Pa As Ce
2 1 4 1
direct
0.0000 0.5000 0.5000
0.5000 0.0000 0.5000
0.5000 0.5000 0.0000
0.0000 0.7237 0.2024
0.0000 0.2763 0.7976
0.5000 0.7526 0.7948
0.5000 0.2474 0.2052
0.0000 0.0000 0.0000
```

Computed properties:
Symmetry ... P2/m (10)
M_tot ... 0.106 μB/atom
DOS at the Fermi energy ... 0.8988 states/eV/atom
Energy of formation from the pure elements ... -1.20 eV/atom